The following is a DFT calculation (PBE) of a relaxed In2GeAs crystal.

Cell: 3.9652 3.9652 26.0306 Å, 90.00 90.00 120.00°
Space group R-3m (No. 166, hexagonal axes)
Asymmetric unit:
In (0.0000, 0.0000, 0.1054) x6
Ge (0.0000, 0.0000, 0.0000) x3
As (0.0000, 0.0000, 0.5000) x3

* spin magnetization: 0.0 Bohr magnetons per cell
* ΔE_f: 304 meV/atom